## ZnNi (PBEsol)

Data for a relaxed structure of ZnNi.

Properties
The symmetry is No. 12. The calculation puts the energy relative to the elements at -0.2110 eV per atom. The value obtained for the density of states at the Fermi level is 2.15 states/eV per cell. As for the total energy: -16.323 eV per cell.

Cell: 2.6080 4.2358 4.7014 Å, 111.05 106.10 90.00°
With the nearest neighbours (Å) after each atom.
Sites, in units of the cell vectors:
Zn 0.6194 0.8036 0.2388  7 Ni 2.48-2.50, 5 Zn 2.61-2.67
Zn 0.3806 0.1964 0.7612  7 Ni 2.48-2.50, 5 Zn 2.61-2.67
Ni 0.8715 0.6909 0.7431  7 Zn 2.48-2.50, 5 Ni 2.55-2.77
Ni 0.1285 0.3090 0.2569  7 Zn 2.48-2.50, 5 Ni 2.55-2.77


## Zn5Ni24 (PBEsol)

Data for a relaxed structure of Zn5Ni24.

Properties
The symmetry is No. 217. The calculation puts the energy relative to the elements at -0.0023 eV per atom. The value obtained for the density of states at the Fermi level is 45.20 states/eV per cell. As for the total energy: -155.756 eV per cell.

Cell: 7.4354 7.4354 7.4354 Å, 109.47 109.47 109.47°
With the nearest neighbours (Å) after each atom.
Sites, in units of the cell vectors:
Ni 0.3183 0.7243 0.3183  7 Ni 2.30-2.50, 1 Zn 2.42
Ni 0.5940 0.5940 0.2757  7 Ni 2.30-2.50, 1 Zn 2.42
Ni 0.3765 0.0000 0.1905  8 Ni 2.26-2.50
Ni 0.8095 0.1860 0.8095  8 Ni 2.26-2.50
Ni 0.1860 0.8095 0.8095  8 Ni 2.26-2.50
Ni 0.3183 0.3183 0.7243  7 Ni 2.30-2.50, 1 Zn 2.42
Ni 0.0000 0.3765 0.1905  8 Ni 2.26-2.50
Ni 0.7243 0.3183 0.3183  7 Ni 2.30-2.50, 1 Zn 2.42
Ni 0.5940 0.2757 0.5940  7 Ni 2.30-2.50, 1 Zn 2.42
Ni 0.6817 0.4060 0.0000  7 Ni 2.30-2.50, 1 Zn 2.42
Ni 0.6235 0.6235 0.8140  8 Ni 2.26-2.50
Ni 0.1905 0.3765 0.0000  8 Ni 2.26-2.50
Ni 0.0000 0.4060 0.6817  7 Ni 2.30-2.50, 1 Zn 2.42
Ni 0.1905 0.0000 0.3765  8 Ni 2.26-2.50
Ni 0.3765 0.1905 0.0000  8 Ni 2.26-2.50
Ni 0.4060 0.0000 0.6817  7 Ni 2.30-2.50, 1 Zn 2.42
Ni 0.0000 0.1905 0.3765  8 Ni 2.26-2.50
Ni 0.8140 0.6235 0.6235  8 Ni 2.26-2.50
Ni 0.8095 0.8095 0.1860  8 Ni 2.26-2.50
Ni 0.6235 0.8140 0.6235  8 Ni 2.26-2.50
Ni 0.0000 0.6817 0.4060  7 Ni 2.30-2.50, 1 Zn 2.42
Ni 0.6817 0.0000 0.4060  7 Ni 2.30-2.50, 1 Zn 2.42
Ni 0.2757 0.5940 0.5940  7 Ni 2.30-2.50, 1 Zn 2.42
Ni 0.4060 0.6817 0.0000  7 Ni 2.30-2.50, 1 Zn 2.42
Zn 0.6377 0.0000 0.0000  9 Ni 2.42-2.62, 1 Zn 2.69
Zn 0.3623 0.3623 0.3623  9 Ni 2.42-2.62, 1 Zn 2.69
Zn 0.0000 0.6377 0.0000  9 Ni 2.42-2.62, 1 Zn 2.69
Zn 0.0000 0.0000 0.6377  9 Ni 2.42-2.62, 1 Zn 2.69
Zn 0.0000 0.0000 0.0000  12 Ni 2.68, 4 Zn 2.69


## ZnNi4 (PBEsol)

Data for a relaxed structure of ZnNi4.

Properties
The symmetry is No. 166. The calculation puts the energy relative to the elements at -0.0393 eV per atom. The energy above the lowest structure with this stoichiometry comes out at 62 meV/atom. The value obtained for the density of states at the Fermi level is 7.15 states/eV per cell. As for the total energy: -26.408 eV per cell.

Cell: 2.4936 2.4936 10.1242 Å, 82.93 82.93 60.00°
With the nearest neighbours (Å) after each atom.
Sites, in units of the cell vectors:
Ni 0.5986 0.5986 0.2043  9 Ni 2.45-2.49, 3 Zn 2.50
Ni 0.1995 0.1995 0.4016  12 Ni 2.44-2.49
Ni 0.4014 0.4014 0.7957  9 Ni 2.45-2.49, 3 Zn 2.50
Ni 0.8005 0.8005 0.5984  12 Ni 2.44-2.49
Zn 0.0000 0.0000 0.0000  6 Zn 2.49, 6 Ni 2.50


## ZnNi (PBEsol)

Data for a relaxed structure of ZnNi.

Properties
The symmetry is No. 74. The calculation puts the energy relative to the elements at -0.1824 eV per atom. The value obtained for the density of states at the Fermi level is 1.75 states/eV per cell. As for the total energy: -16.208 eV per cell.

Cell: 2.7135 4.0815 4.8517 Å, 114.87 106.24 90.00°
With the nearest neighbours (Å) after each atom.
Sites, in units of the cell vectors:
Zn 0.6197 0.8697 0.2394  6 Ni 2.45-2.47, 4 Zn 2.57-2.71
Zn 0.3803 0.1303 0.7606  6 Ni 2.45-2.47, 4 Zn 2.57-2.71
Ni 0.8735 0.6235 0.7470  6 Zn 2.45-2.47, 4 Ni 2.47-2.71
Ni 0.1265 0.3765 0.2530  6 Zn 2.45-2.47, 4 Ni 2.47-2.71


## Zn2Ni (PBEsol)

Data for a relaxed structure of Zn2Ni.

Properties
The symmetry is No. 123. The calculation puts the energy relative to the elements at -0.1642 eV per atom. The value obtained for the density of states at the Fermi level is 1.05 states/eV per cell. As for the total energy: -9.814 eV per cell.

Cell: 2.5823 4.0935 4.0935 Å, 90.00 90.00 90.00°
With the nearest neighbours (Å) after each atom.
Sites, in units of the cell vectors:
Zn 0.0000 0.5000 0.0000  4 Ni 2.42, 2 Zn 2.58
Zn 0.0000 0.0000 0.5000  4 Ni 2.42, 2 Zn 2.58
Ni 0.5000 0.0000 0.0000  8 Zn 2.42, 2 Ni 2.58


## Zn3Ni (PBEsol)

Data for a relaxed structure of Zn3Ni.

Properties
The symmetry is No. 65. The calculation puts the energy relative to the elements at -0.1340 eV per atom. The value obtained for the density of states at the Fermi level is 1.69 states/eV per cell. As for the total energy: -11.439 eV per cell.

Cell: 2.6645 4.4614 4.4614 Å, 109.05 90.00 90.00°
With the nearest neighbours (Å) after each atom.
Sites, in units of the cell vectors:
Zn 0.5000 0.5000 0.0000  8 Zn 2.59-2.66, 4 Ni 2.60
Zn 0.0000 0.5000 0.5000  2 Ni 2.59, 10 Zn 2.60-2.66
Zn 0.5000 0.0000 0.5000  8 Zn 2.59-2.66, 4 Ni 2.60
Ni 0.0000 0.0000 0.0000  10 Zn 2.59-2.60, 2 Ni 2.66


## Zn3Ni (PBEsol)

Data for a relaxed structure of Zn3Ni.

Properties
The symmetry is No. 62. The calculation puts the energy relative to the elements at -0.1481 eV per atom. The value obtained for the density of states at the Fermi level is 5.58 states/eV per cell. As for the total energy: -45.982 eV per cell.

Cell: 5.1741 4.6638 8.3307 Å, 90.00 90.00 90.00°
With the nearest neighbours (Å) after each atom.
Sites, in units of the cell vectors:
Zn 0.1329 0.7364 0.4911  3 Ni 2.50-2.61, 8 Zn 2.56-2.66
Zn 0.3671 0.2364 0.4911  3 Ni 2.50-2.61, 8 Zn 2.56-2.66
Zn 0.3888 0.5584 0.7500  4 Ni 2.51-2.70, 8 Zn 2.56-2.74
Zn 0.3671 0.2364 0.0089  3 Ni 2.50-2.61, 8 Zn 2.56-2.66
Zn 0.1112 0.0584 0.7500  4 Ni 2.51-2.70, 8 Zn 2.56-2.74
Zn 0.8671 0.2636 0.9911  3 Ni 2.50-2.61, 8 Zn 2.56-2.66
Zn 0.6329 0.7636 0.5089  3 Ni 2.50-2.61, 8 Zn 2.56-2.66
Zn 0.8888 0.9416 0.2500  4 Ni 2.51-2.70, 8 Zn 2.56-2.74
Zn 0.1329 0.7364 0.0089  3 Ni 2.50-2.61, 8 Zn 2.56-2.66
Zn 0.6329 0.7636 0.9911  3 Ni 2.50-2.61, 8 Zn 2.56-2.66
Zn 0.8671 0.2636 0.5089  3 Ni 2.50-2.61, 8 Zn 2.56-2.66
Zn 0.6112 0.4416 0.2500  4 Ni 2.51-2.70, 8 Zn 2.56-2.74
Ni 0.6129 0.0818 0.7500  10 Zn 2.50-2.70, 2 Ni 2.73
Ni 0.8871 0.5818 0.7500  10 Zn 2.50-2.70, 2 Ni 2.73
Ni 0.3871 0.9182 0.2500  10 Zn 2.50-2.70, 2 Ni 2.73
Ni 0.1129 0.4182 0.2500  10 Zn 2.50-2.70, 2 Ni 2.73


## Zn3Ni (PBEsol)

Data for a relaxed structure of Zn3Ni.

Properties
The symmetry is No. 59. The calculation puts the energy relative to the elements at -0.1841 eV per atom. The value obtained for the density of states at the Fermi level is 2.82 states/eV per cell. As for the total energy: -23.280 eV per cell.

Cell: 4.1949 4.6213 5.1389 Å, 90.00 90.00 90.00°
With the nearest neighbours (Å) after each atom.
Sites, in units of the cell vectors:
Ni 0.0000 0.6636 0.0000  12 Zn 2.54-2.64
Ni 0.5000 0.3364 0.5000  12 Zn 2.54-2.64
Zn 0.5000 0.8369 0.7476  8 Zn 2.55-2.72, 4 Ni 2.59-2.64
Zn 0.5000 0.3552 0.0000  4 Ni 2.54-2.57, 8 Zn 2.58-2.72
Zn 0.0000 0.6448 0.5000  4 Ni 2.54-2.57, 8 Zn 2.58-2.72
Zn 0.0000 0.1631 0.7524  8 Zn 2.55-2.72, 4 Ni 2.59-2.64
Zn 0.0000 0.1631 0.2476  8 Zn 2.55-2.72, 4 Ni 2.59-2.64
Zn 0.5000 0.8369 0.2524  8 Zn 2.55-2.72, 4 Ni 2.59-2.64


## Zn7Ni (PBEsol)

Data for a relaxed structure of Zn7Ni.

Properties
The symmetry is No. 225. The calculation puts the energy relative to the elements at -0.0675 eV per atom. The value obtained for the density of states at the Fermi level is 2.96 states/eV per cell. As for the total energy: -17.771 eV per cell.

Cell: 5.2916 5.2916 5.2916 Å, 60.00 60.00 60.00°
With the nearest neighbours (Å) after each atom.
Sites, in units of the cell vectors:
Zn 0.5000 0.0000 0.5000  10 Zn 2.65, 2 Ni 2.65
Zn 0.0000 0.5000 0.5000  2 Ni 2.65, 10 Zn 2.65
Zn 0.5000 0.5000 0.0000  10 Zn 2.65, 2 Ni 2.65
Zn 0.0000 0.5000 0.0000  10 Zn 2.65, 2 Ni 2.65
Zn 0.5000 0.5000 0.5000  12 Zn 2.65
Zn 0.5000 0.0000 0.0000  10 Zn 2.65, 2 Ni 2.65
Zn 0.0000 0.0000 0.5000  10 Zn 2.65, 2 Ni 2.65
Ni 0.0000 0.0000 0.0000  12 Zn 2.65


## Zn2Ni (PBEsol)

Data for a relaxed structure of Zn2Ni.

Properties
The symmetry is No. 12. The calculation puts the energy relative to the elements at -0.1907 eV per atom. The value obtained for the density of states at the Fermi level is 2.62 states/eV per cell. As for the total energy: -19.787 eV per cell.

Cell: 2.6459 4.8766 6.1557 Å, 106.04 90.00 105.74°
With the nearest neighbours (Å) after each atom.
Sites, in units of the cell vectors:
Zn 0.3620 0.7240 0.4634  8 Zn 2.50-2.68, 4 Ni 2.51-2.55
Zn 0.3227 0.6454 0.8779  5 Ni 2.48-2.66, 7 Zn 2.65-2.68
Zn 0.6380 0.2760 0.5366  8 Zn 2.50-2.68, 4 Ni 2.51-2.55
Zn 0.6773 0.3546 0.1221  5 Ni 2.48-2.66, 7 Zn 2.65-2.68
Ni 0.9717 0.9434 0.2051  9 Zn 2.48-2.66, 3 Ni 2.65-2.72
Ni 0.0283 0.0566 0.7949  9 Zn 2.48-2.66, 3 Ni 2.65-2.72


## ZnNi (PBEsol)

Data for a relaxed structure of ZnNi.

Properties
The symmetry is No. 129. The calculation puts the energy relative to the elements at -0.1192 eV per atom. The value obtained for the density of states at the Fermi level is 3.23 states/eV per cell. As for the total energy: -15.956 eV per cell.

Cell: 2.6004 2.6004 6.9665 Å, 90.00 90.00 90.00°
With the nearest neighbours (Å) after each atom.
Sites, in units of the cell vectors:
Ni 0.0000 0.5000 0.8849  8 Ni 2.44-2.60, 4 Zn 2.48
Ni 0.5000 0.0000 0.1151  8 Ni 2.44-2.60, 4 Zn 2.48
Zn 0.0000 0.5000 0.3532  4 Ni 2.48, 8 Zn 2.60-2.75
Zn 0.5000 0.0000 0.6468  4 Ni 2.48, 8 Zn 2.60-2.75


## ZnNi (PBEsol)

Data for a relaxed structure of ZnNi.

Properties
The symmetry is No. 123. The calculation puts the energy relative to the elements at -0.2718 eV per atom. The value obtained for the density of states at the Fermi level is 0.48 states/eV per cell. As for the total energy: -8.283 eV per cell.

Cell: 2.6696 2.6696 3.2204 Å, 90.00 90.00 90.00°
With the nearest neighbours (Å) after each atom.
Sites, in units of the cell vectors:
Ni 0.5000 0.5000 0.5000  8 Zn 2.48, 4 Ni 2.67
Zn 0.0000 0.0000 0.0000  8 Ni 2.48, 4 Zn 2.67


## Zn5Ni3 (PBEsol)

Data for a relaxed structure of Zn5Ni3.

Properties
The symmetry is No. 65. The calculation puts the energy relative to the elements at -0.2114 eV per atom. The value obtained for the density of states at the Fermi level is 4.06 states/eV per cell. As for the total energy: -28.073 eV per cell.

Cell: 3.7398 5.0634 5.0634 Å, 92.04 90.00 90.00°
With the nearest neighbours (Å) after each atom.
Sites, in units of the cell vectors:
Zn 0.0000 0.5000 0.0000  6 Zn 2.53-2.62, 6 Ni 2.53-2.57
Zn 0.5000 0.2719 0.2719  6 Ni 2.46-2.57, 6 Zn 2.62-2.67
Zn 0.0000 0.0000 0.5000  6 Ni 2.53-2.57, 6 Zn 2.53-2.62
Zn 0.5000 0.7281 0.7281  6 Ni 2.46-2.57, 6 Zn 2.62-2.67
Zn 0.0000 0.0000 0.0000  8 Zn 2.53-2.67, 4 Ni 2.54
Ni 0.0000 0.5000 0.5000  8 Zn 2.46-2.53, 4 Ni 2.69
Ni 0.5000 0.2352 0.7648  10 Zn 2.51-2.57, 2 Ni 2.69
Ni 0.5000 0.7648 0.2352  10 Zn 2.51-2.57, 2 Ni 2.69